A plane-wave DFT calculation with GGA-PBE was carried out for an optimized crystal structure of Tl2In12Sn.

Values from the calculation:
D(E_F) in states/eV per atom: 0.4016
Crystal system: tetragonal
M_tot in μB/f.u.: 0.00
ΔE_f in meV per atom: 57

abc: 6.7323 6.7323 19.7425
angles: 90.00 90.00 90.00
Atoms (fractional coordinates):
Tl (0.2500, 0.7500, 0.2321)
Tl (0.2500, 0.7500, 0.7679)
Tl (0.7500, 0.2500, 0.2321)
Tl (0.7500, 0.2500, 0.7679)
In (0.0004, 0.9996, 0.3961)
In (0.9996, 0.0004, 0.6039)
In (0.9996, 0.4996, 0.3961)
In (0.0004, 0.5004, 0.6039)
In (0.0820, 0.5820, 0.0666)
In (0.0820, 0.9180, 0.9334)
In (0.2500, 0.2500, 0.1539)
In (0.2500, 0.2500, 0.2991)
In (0.2500, 0.2500, 0.7009)
In (0.2500, 0.2500, 0.8461)
In (0.4180, 0.5820, 0.9334)
In (0.4180, 0.9180, 0.0666)
In (0.5004, 0.0004, 0.3961)
In (0.4996, 0.9996, 0.6039)
In (0.4996, 0.5004, 0.3961)
In (0.5004, 0.4996, 0.6039)
In (0.5820, 0.0820, 0.9334)
In (0.5820, 0.4180, 0.0666)
In (0.7500, 0.7500, 0.1539)
In (0.7500, 0.7500, 0.2991)
In (0.7500, 0.7500, 0.7009)
In (0.7500, 0.7500, 0.8461)
In (0.9180, 0.0820, 0.0666)
In (0.9180, 0.4180, 0.9334)
Sn (0.2500, 0.7500, 0.5000)
Sn (0.7500, 0.2500, 0.5000)